DFT (PBE-GGA) results for a relaxed KCu2P crystal.

Calculated volume in A^3/atom: 21.72
ΔH_f (0 K) in eV per atom: -0.156

Unit cell a=7.176 b=4.143 c=6.329 alpha=90.00 beta=112.58 gamma=90.00
Space group Cm (No. 8)
One atom of each set of equivalent atoms:
K 0.000 0.000 0.000
Cu 0.004 0.500 0.511
Cu 0.323 0.500 0.469
P 0.186 0.000 0.556